The following is a DFT calculation (PBE-GGA) of an optimized crystal structure of Ac6Si2SeBr3.

Total DFT energy (no corrections) in eV/atom: -4.88
Spin magnetization in μB per atom: 0.000
Space group: No. 12
Uncorrected formation energy in eV per atom: -1.218
ρ in Mg/m³: 7.12

Cell lengths 4.568, 9.147, 10.258 Å; angles 103.87, 102.87, 90.00 degrees
Element x y z (fractional)
Ac  0.661  0.105  0.323
Ac  0.991  0.763  0.983
Ac  0.339  0.895  0.677
Ac  0.675  0.565  0.350
Ac  0.325  0.435  0.650
Ac  0.009  0.237  0.017
Br  0.831  0.165  0.662
Br  0.500  0.500  0.000
Br  0.169  0.835  0.338
Si  0.835  0.669  0.670
Si  0.165  0.331  0.330
Se  0.500  0.000  0.000